# Cs2KWF6, optimized geometry, DFT GGA+U
data_Cs2KWF6
_cell_length_a 6.7159
_cell_length_b 6.7159
_cell_length_c 34.0497
_cell_angle_alpha 90.00
_cell_angle_beta 90.00
_cell_angle_gamma 120.00
_space_group_name_H-M_alt 'R -3 m'
_space_group_IT_number 166
_space_group_name_Hall '-R 3 2"'
loop_
_atom_site_label
_atom_site_type_symbol
_atom_site_fract_x
_atom_site_fract_y
_atom_site_fract_z
_atom_site_occupancy
Cs1 Cs 0.0000 0.0000 0.1313 1
Cs2 Cs 0.0000 0.0000 0.2789 1
K1 K 0.0000 0.0000 0.4041 1
W1 W 0.0000 0.0000 0.0000 1
W2 W 0.0000 0.0000 0.5000 1
F1 F 0.0333 0.5167 0.1308 1
F2 F 0.0421 0.5210 0.7039 1
# - Crystal system: trigonal
# - DFT total energy: -4.88 eV per atom